First-principles (PBE) data for a relaxed structure of Tb2SiGeAu2, as listed in OQMD via LeMat-Bulk.

final energy: -5.134 eV/atom
total moment: 0.00 μB/cell

a = 4.4209 Å, b = 4.4209 Å, c = 7.4437 Å
α = 90.00°, β = 90.00°, γ = 120.00°
Last column: nearest neighbours and their distance in Å.
Space group P3m1 (No. 156)
One atom of each set of equivalent atoms:
1 Tb 0.0000 0.0000 0.0000 [1 per cell]  3 Ge 2.99, 6 Au 3.06-3.34, 3 Si 3.31
2 Tb 0.0000 0.0000 0.4977 [1 per cell]  3 Si 3.01, 6 Au 3.01-3.25, 3 Ge 3.36
3 Si 0.3333 0.6667 0.2839 [1 per cell]  3 Au 2.59
4 Ge 0.6667 0.3333 0.7917 [1 per cell]  3 Au 2.62
5 Au 0.3333 0.6667 0.7115 [1 per cell]  3 Ge 2.62
6 Au 0.6667 0.3333 0.2271 [1 per cell]  3 Si 2.59